KYNiF6 GGA+U optimized geometry; symmetry = No. 74; total DFT energy (no corrections) = -5.51 eV per atom; density = 3.62 g/cm³; total magnetic moment = 4.000 Bohr magnetons per cell
1.0
-3.570 3.775 5.110
3.570 -3.775 5.110
3.570 3.775 -5.110
K Y Ni F
2 2 2 12
Direct
0.335 0.085 0.250
0.665 0.915 0.750
0.000 0.500 0.500
0.500 0.500 0.000
0.000 0.000 0.500
0.000 0.500 0.000
0.061 0.345 0.174
0.061 0.887 0.717
0.092 0.342 0.750
0.329 0.113 0.674
0.329 0.655 0.217
0.364 0.614 0.750
0.636 0.386 0.250
0.671 0.345 0.783
0.671 0.887 0.326
0.908 0.658 0.250
0.939 0.113 0.283
0.939 0.655 0.826